# 1
## BiSe3F (PBE)

Data for a relaxed BiSe3F crystal.

Structure (extended XYZ):
```
5
Lattice="5.627 0.000 0.000 0.000 5.627 0.000 0.000 0.000 5.627" Properties=species:S:1:pos:R:3 pbc="T T T"
Bi 0.000 0.000 0.000
Se 0.000 0.000 2.814
Se 0.000 2.814 0.000
Se 2.814 0.000 0.000
F 2.814 2.814 2.814
```

Summary:
Total moment: 0.781 μB per atom
DOS at the Fermi energy: 8.9 states/eV/cell
Formation energy (no corrections): 522 meV/atom
Space group: Pm-3m
E_tot: -2.719 eV per atom
Distance to the lowest polymorph of the same formula: 1.52 eV per formula unit

# 2
## BiSe2F (PBE)

Data for a relaxed BiSe2F crystal.

Structure (extended XYZ):
```
12
Lattice="4.191 0.000 0.000 -2.095 3.629 0.000 0.000 0.000 23.081" Properties=species:S:1:pos:R:3 pbc="T T T"
Bi 0.000 0.000 0.000
Bi 0.000 2.419 15.387
Bi 2.095 1.210 7.694
Se 0.000 0.000 9.401
Se 0.000 0.000 13.680
Se 0.000 2.419 1.707
Se 0.000 2.419 5.987
Se 2.095 1.210 17.094
Se 2.095 1.210 21.374
F 0.000 0.000 11.540
F 0.000 2.419 3.847
F 2.095 1.210 19.234
```

Summary:
Total moment: 0.000 μB per atom
DOS at the Fermi energy: 3.7 states/eV/cell
Formation energy (no corrections): -408 meV/atom
Space group: R-3m
E_tot: -3.589 eV per atom
Distance to the lowest polymorph of the same formula: 1.62 eV per formula unit

# 3
## TlBiSeF2 (PBE)

Data for a relaxed TlBiSeF2 crystal.

Structure (extended XYZ):
```
5
Lattice="4.685 0.000 0.000 0.000 4.685 0.000 0.000 0.000 5.719" Properties=species:S:1:pos:R:3 pbc="T T T"
Tl 0.000 0.000 0.000
Bi 2.342 2.342 2.860
Se 2.342 2.342 0.000
F 0.000 2.342 2.860
F 2.342 0.000 2.860
```

Summary:
Total moment: 0.000 μB per atom
Formation energy (no corrections): -1433 meV/atom
Space group: P4/mmm
E_tot: -4.128 eV per atom